Model A:
HfGaAsSe2 (GGA-PBE, relaxed); space group = P4/mmm, No. 123; total moment = 0.000 μB/cell
1.0
4.8855 0.0000 0.0000
0.0000 4.8855 0.0000
0.0000 0.0000 4.7765
Se Hf Ga As
2 1 1 1
Direct
0.5000 0.0000 0.0000 Se
0.0000 0.5000 0.0000 Se
0.5000 0.5000 0.5000 Hf
0.0000 0.0000 0.0000 Ga
0.0000 0.0000 0.5000 As


Model B:
HfGaAsSe2 (GGA-PBE, relaxed); space group = P4/mmm, No. 123; total moment = 0.000 μB/cell
1.0
-0.9086 -4.1461 2.9764
2.5722 -2.9831 -3.3703
4.4418 0.8929 2.5997
Ga Hf Se As
1 1 2 1
Direct
0.5000 0.5000 0.5000 Ga
0.0000 0.0000 0.0000 Hf
0.0000 0.5000 0.0000 Se
0.5000 0.0000 0.0000 Se
0.0000 0.0000 0.5000 As


Stability verdict: model B, ahead by 646 meV per atom


Model A:
GaHg2As (GGA-PBE, relaxed); space group = Fm-3m, No. 225; total moment = 0.000 μB/cell
1.0
-4.8589 -0.7008 1.1561
-3.0418 3.9739 0.6260
-3.5744 1.0023 -3.4140
Ga As Hg
1 1 2
Direct
0.0000 0.0000 0.0000 Ga
0.5000 0.5000 0.5000 As
0.2500 0.2500 0.2500 Hg
0.7500 0.7500 0.7500 Hg


Model B:
GaHg2As (GGA-PBE, relaxed); space group = I-42d, No. 122; total moment = 0.000 μB/cell
1.0
-6.6710 3.9885 1.9651
-4.4058 -5.4522 -3.8902
-5.7550 -2.2932 1.4711
Ga As Hg
2 2 4
Direct
0.5000 0.5000 0.0000 Ga
0.2500 0.7500 0.5000 Ga
0.0000 0.0000 0.0000 As
0.7500 0.2500 0.5000 As
0.8750 0.8871 0.7500 Hg
0.1129 0.6250 0.2500 Hg
0.3750 0.3629 0.7500 Hg
0.6371 0.1250 0.2500 Hg


Stability verdict: model B, ahead by 6 meV per atom


Model A:
GaAsI2 (GGA-PBE, relaxed); space group = I-42d, No. 122; total moment = 0.000 μB/cell
1.0
5.9643 0.0000 0.0000
0.0000 5.9643 0.0000
2.9821 2.9821 9.0372
As I Ga
2 4 2
Direct
0.7500 0.2500 0.5000 As
0.0000 0.0000 0.0000 As
0.0761 0.6250 0.2500 I
0.8750 0.9239 0.7500 I
0.6739 0.1250 0.2500 I
0.3750 0.3261 0.7500 I
0.5000 0.5000 0.0000 Ga
0.2500 0.7500 0.5000 Ga


Model B:
GaAsI2 (GGA-PBE, relaxed); space group = Fm-3m, No. 225; total moment = 0.000 μB/cell
1.0
0.0000 3.8427 3.8427
3.8427 0.0000 3.8427
3.8427 3.8427 0.0000
I Ga As
2 1 1
Direct
0.7500 0.7500 0.7500 I
0.2500 0.2500 0.2500 I
0.0000 0.0000 0.0000 Ga
0.5000 0.5000 0.5000 As


Stability verdict: model A, ahead by 129 meV per atom